A PBEsol-optimized structure of Ti2Re2Sb, computed with meta-GGA SCAN.

Computed properties:
total energy	-42.20	eV/atom
N(E_F)	0.990	states/eV/atom

```
data_Ti2Re2Sb
_cell_length_a 3.523
_cell_length_b 3.523
_cell_length_c 7.767
_cell_angle_alpha 103.11
_cell_angle_beta 103.11
_cell_angle_gamma 90.00
_symmetry_space_group_name_H-M 'P 1'
_symmetry_Int_Tables_number 1
_symmetry_space_group_name_Hall 'P 1'
loop_
_atom_site_label
_atom_site_type_symbol
_atom_site_fract_x
_atom_site_fract_y
_atom_site_fract_z
_atom_site_occupancy
Re1 Re 0.250 0.750 0.500 1
Re2 Re 0.750 0.250 0.500 1
Ti1 Ti 0.395 0.395 0.790 1
Ti2 Ti 0.605 0.605 0.210 1
Sb1 Sb 0.000 0.000 0.000 1
```